(1)
Fe2TcSb | Alexandria via LeMat-Bulk | PBE-GGA | relaxed; SG = No. 166; E_form (uncorrected) = 11.292 kcal/mol of atoms
1.0
1.4659 0.8463 8.2165
-1.4659 0.8463 8.2165
0.0000 -1.6926 8.2165
Fe Tc Sb
2 1 1
direct
0.2454 0.2454 0.2454
0.7546 0.7546 0.7546
0.5000 0.5000 0.5000
0.0000 0.0000 0.0000

---

(2)
Li4Dy3Tl4 | Alexandria via LeMat-Bulk | PBE-GGA | relaxed; SG = No. 12; offset from the most stable computed form = 0 meV/atom
1.0
15.4510 -1.7475 0.0000
15.4510 1.7475 0.0000
-0.7677 0.0000 4.8199
Li Dy Tl
4 3 4
direct
0.0928 0.0928 0.0929
0.2400 0.2400 0.7401
0.7600 0.7600 0.2599
0.9072 0.9072 0.9071
0.3560 0.3560 0.3559
0.5000 0.5000 0.0000
0.6440 0.6440 0.6441
0.0515 0.0515 0.5517
0.1839 0.1839 0.1842
0.8161 0.8161 0.8158
0.9485 0.9485 0.4483

---

(3)
SrBAs3 | Alexandria via LeMat-Bulk | PBE-GGA | relaxed; SG = No. 221; offset from the most stable computed form = 0 meV/atom
1.0
4.6639 0.0000 0.0000
0.0000 4.6639 0.0000
0.0000 0.0000 4.6639
Sr B As
1 1 3
direct
0.0000 0.0000 0.0000
0.5000 0.5000 0.5000
0.0000 0.5000 0.5000
0.5000 0.0000 0.5000
0.5000 0.5000 0.0000

---

(4)
In4GaHg4 | Alexandria via LeMat-Bulk | PBE-GGA | relaxed; SG = No. 121; offset from the most stable computed form = 88 meV/atom
1.0
-3.8748 3.8748 4.3951
3.8748 -3.8748 4.3951
3.8748 3.8748 -4.3951
In Ga Hg
4 1 4
direct
0.0775 0.6058 0.0000
0.3942 0.3942 0.4717
0.6058 0.0775 0.0000
0.9225 0.9225 0.5283
0.0000 0.0000 0.0000
0.0000 0.5000 0.5000
0.3371 0.3371 0.0000
0.5000 0.0000 0.5000
0.6629 0.6629 0.0000

---

(5)
DySc2HgO | Alexandria via LeMat-Bulk | PBE-GGA | relaxed; SG = No. 123; E_form (uncorrected) = -33.116 kcal/mol of atoms
1.0
4.4854 0.0000 0.0000
0.0000 4.4854 0.0000
0.0000 0.0000 4.6918
Dy Sc Hg O
1 2 1 1
direct
0.0000 0.0000 0.0000
0.0000 0.5000 0.5000
0.5000 0.0000 0.5000
0.5000 0.5000 0.0000
0.0000 0.0000 0.5000

---

(6)
BeZnIn | Alexandria via LeMat-Bulk | PBE-GGA | relaxed; SG = No. 216; offset from the most stable computed form = 300 meV/atom
1.0
0.0000 3.0483 3.0483
3.0483 0.0000 3.0483
3.0483 3.0483 0.0000
Be Zn In
1 1 1
direct
0.0000 0.0000 0.0000
0.5000 0.5000 0.5000
0.2500 0.2500 0.2500